Entry 1:
Compound: Sr2YIrI
Source: the Alexandria database
Functional: PBE
Structure: relaxed

- spin magnetization (μB per cell) = 0.00
- calculated density (g/cm3) = 5.0
- E_form (uncorrected) (eV per atom) = 0.71
- space group = P4/mmm (123)
- final energy (eV for the cell shown) = -16.69

Cell lengths 5.907, 5.553, 5.907 Å; angles 90.00, 90.00, 90.00 degrees
Element x y z (fractional)
Y (0.000, 0.500, 0.000)
I (0.000, 0.000, 0.000)
Sr (0.500, 0.000, 0.000)
Sr (0.000, 0.000, 0.500)
Ir (0.500, 0.500, 0.500)

Entry 2:
Compound: Ca4SnPd4
Source: the Alexandria database
Functional: PBE
Structure: relaxed

- spin magnetization (μB per cell) = 0.00
- E_form (kJ/mol of formula units) = -408
- calculated density (g/cm3) = 4.9
- space group = I4/m (87)
- final energy (eV for the cell shown) = -37.01

Cell lengths 5.800, 7.027, 7.027 Å; angles 80.19, 65.63, 65.63 degrees
Element x y z (fractional)
Ca (0.203, 0.390, 0.204)
Ca (0.797, 0.610, 0.796)
Ca (0.593, 0.204, 0.610)
Ca (0.407, 0.796, 0.390)
Pd (0.909, 0.815, 0.368)
Pd (0.091, 0.185, 0.632)
Pd (0.724, 0.368, 0.185)
Pd (0.276, 0.632, 0.815)
Sn (0.000, 0.000, 0.000)

Entry 3:
Compound: Dy2AgIr
Source: the Alexandria database
Functional: PBE
Structure: relaxed

- relative energy among the computed polymorphs (eV per atom) = 0.1382
- spin magnetization (μB per cell) = 0.00
- E_form (kJ/mol of formula units) = -183
- calculated density (g/cm3) = 10.1
- space group = R-3m (166)
- final energy (eV for the cell shown) = -22.81

Cell lengths 4.068, 4.068, 7.533 Å; angles 74.33, 74.33, 60.00 degrees
Element x y z (fractional)
Dy (0.235, 0.235, 0.294)
Dy (0.765, 0.765, 0.706)
Ir (0.500, 0.500, 0.500)
Ag (0.000, 0.000, 0.000)